! BaHgPRh PBE-GGA relaxed; values from VASP
&SYSTEM
  ibrav = 0, nat = 8, ntyp = 4
/
ATOMIC_SPECIES
Ba 137.33 Ba.upf
Hg 200.59 Hg.upf
P 30.97 P.upf
Rh 102.91 Rh.upf
ATOMIC_POSITIONS crystal
Ba 0.250 0.250 0.239
Ba 0.750 0.750 0.761
Hg 0.250 0.750 0.500
Hg 0.750 0.250 0.500
P 0.250 0.250 0.895
P 0.750 0.750 0.105
Rh 0.250 0.750 0.000
Rh 0.750 0.250 0.000
CELL_PARAMETERS angstrom
4.101 0.000 0.000
0.000 4.101 0.000
0.000 0.000 12.052
! DFT formation energy (eV per atom): -0.731

---

! TcAs2 PBE-GGA relaxed; values from VASP
&SYSTEM
  ibrav = 0, nat = 12, ntyp = 2
/
ATOMIC_SPECIES
Tc 98.00 Tc.upf
As 74.92 As.upf
ATOMIC_POSITIONS crystal
Tc 0.000 0.000 0.000
Tc 0.243 0.500 0.273
Tc 0.500 0.500 0.000
Tc 0.743 0.000 0.273
As 0.029 0.000 0.330
As 0.037 0.500 0.739
As 0.275 0.000 0.554
As 0.285 0.000 0.003
As 0.529 0.500 0.330
As 0.537 0.000 0.739
As 0.775 0.500 0.554
As 0.785 0.500 0.003
CELL_PARAMETERS angstrom
8.785 0.000 0.000
0.000 3.164 0.000
-0.369 0.000 7.615
! Excess energy over the best structure of this formula in the dataset (eV/f.u.): 0.37
! DFT formation energy (eV per atom): -0.067

---

! CsNiIr3 PBE-GGA relaxed; values from VASP
&SYSTEM
  ibrav = 0, nat = 5, ntyp = 3
/
ATOMIC_SPECIES
Cs 132.91 Cs.upf
Ni 58.69 Ni.upf
Ir 192.22 Ir.upf
ATOMIC_POSITIONS crystal
Cs 0.000 0.000 0.000
Ni 0.500 0.500 0.500
Ir 0.000 0.000 0.500
Ir 0.000 0.500 0.000
Ir 0.500 0.000 0.000
CELL_PARAMETERS angstrom
4.956 0.000 0.000
0.000 4.956 0.000
0.000 0.000 4.956
! Excess energy over the best structure of this formula in the dataset (eV/f.u.): 8.79
! DFT formation energy (eV per atom): 3.411

---

DFT formation energy of number 2 (TcAs2)?
-0.067 eV per atom

---

The highest DFT formation energy belongs to which entry?
CsNiIr3

---

The lowest DFT formation energy belongs to which entry?
BaHgPRh

---

Which formula does entry 2 have?
TcAs2